1.
VASP calculation (GGA-PBE) on a geometry-optimized PmGd2Fe structure.

Values from the calculation:
The formation energy comes out at 0.081 eV/atom. The calculation puts the total magnetization at 3.2152 μB per atom. The calculation puts the energy above the lowest structure with this stoichiometry at 0 meV per atom. The calculation puts the calculated total energy at -10.26 eV/atom.

Cell: 3.450 3.450 9.036 Å, 90.00 90.00 90.00°
Last column: magnetic moment on the atom in μB.
Sites, in units of the cell vectors:
Pm (0.500, 0.500, 0.500)  0.09
Gd (0.000, 0.000, 0.818)  -7.24
Gd (0.000, 0.000, 0.182)  -7.24
Fe (0.500, 0.500, 0.000)  1.92



2.
VASP calculation (GGA-PBE) on a geometry-optimized La2TiSe5 structure.

Values from the calculation:
The calculation puts the total magnetization at 0.0000 μB per atom. The value obtained for the raw formation energy is -1514 meV/atom. The calculation puts the calculated total energy at -5.91 eV/atom.

Cell: 5.558 7.738 13.337 Å, 90.00 90.00 111.05°
Sites, in units of the cell vectors:
Se (0.295, 0.589, 0.402)
Se (0.705, 0.411, 0.598)
Se (0.284, 0.568, 0.750)
Se (0.049, 0.099, 0.125)
Se (0.716, 0.432, 0.250)
Se (0.049, 0.099, 0.375)
Se (0.951, 0.901, 0.875)
Se (0.295, 0.589, 0.098)
Se (0.705, 0.411, 0.902)
Se (0.951, 0.901, 0.625)
Ti (0.826, 0.652, 0.750)
Ti (0.174, 0.348, 0.250)
La (0.150, 0.300, 0.569)
La (0.150, 0.300, 0.931)
La (0.850, 0.700, 0.069)
La (0.850, 0.700, 0.431)



3.
VASP calculation (GGA-PBE) on a geometry-optimized TlBiPb3 structure.

Values from the calculation:
The formation energy comes out at 0.068 eV/atom. The calculation puts the total magnetization at 0.0000 μB per atom. The calculation puts the energy above the lowest structure with this stoichiometry at 60 meV per atom. The calculation puts the calculated total energy at -3.41 eV/atom.

Cell: 6.195 6.508 9.193 Å, 110.59 90.00 90.00°
Sites, in units of the cell vectors:
Pb (0.500, 0.000, 0.000)
Pb (0.750, 0.094, 0.685)
Pb (0.250, 0.906, 0.315)
Pb (0.000, 0.000, 0.000)
Pb (0.750, 0.592, 0.685)
Pb (0.250, 0.408, 0.315)
Bi (0.750, 0.175, 0.350)
Bi (0.250, 0.825, 0.650)
Tl (0.250, 0.438, 0.875)
Tl (0.750, 0.562, 0.125)